Ti2FeIrI: optimized geometry, PBEsol.

Cell lengths 4.463, 4.463, 4.545 Å; angles 90.00, 90.00, 90.00 degrees
Fractional positions:
Ti1 0.000 0.500 0.000
Ti2 0.500 0.000 0.000
Fe1 0.000 0.000 0.000
Ir1 0.000 0.000 0.500
I1 0.500 0.500 0.500

Values from the calculation:
Size of the total moment: 0.00 Bohr magnetons per cell
Symmetry: No. 123

K2FeI: optimized geometry, PBEsol.

Cell lengths 8.299, 8.299, 8.299 Å; angles 90.00, 90.00, 90.00 degrees
Fractional positions:
K1 0.250 0.250 0.250
K2 0.250 0.250 0.750
K3 0.250 0.750 0.250
K4 0.250 0.750 0.750
K5 0.750 0.250 0.250
K6 0.750 0.250 0.750
K7 0.750 0.750 0.250
K8 0.750 0.750 0.750
Fe1 0.000 0.000 0.000
Fe2 0.000 0.500 0.500
Fe3 0.500 0.000 0.500
Fe4 0.500 0.500 0.000
I1 0.000 0.000 0.500
I2 0.000 0.500 0.000
I3 0.500 0.000 0.000
I4 0.500 0.500 0.500

Values from the calculation:
Size of the total moment: 11.99 Bohr magnetons per cell
Symmetry: No. 225

K2FeI4: optimized geometry, PBEsol.

Cell lengths 7.609, 7.944, 9.617 Å; angles 90.00, 108.58, 90.00 degrees
Fractional positions:
K1 0.220 0.250 0.051
K2 0.263 0.250 0.571
K3 0.737 0.750 0.429
K4 0.780 0.750 0.949
Fe1 0.215 0.750 0.798
Fe2 0.785 0.250 0.202
I1 0.009 0.504 0.263
I2 0.009 0.996 0.263
I3 0.395 0.750 0.075
I4 0.413 0.750 0.624
I5 0.587 0.250 0.376
I6 0.605 0.250 0.925
I7 0.991 0.004 0.737
I8 0.991 0.496 0.737

Values from the calculation:
Size of the total moment: 8.00 Bohr magnetons per cell
Symmetry: No. 11

KFe3I: optimized geometry, PBEsol.

Cell lengths 4.642, 4.642, 4.642 Å; angles 90.00, 90.00, 90.00 degrees
Fractional positions:
K1 0.000 0.000 0.000
Fe1 0.000 0.000 0.500
Fe2 0.000 0.500 0.000
Fe3 0.500 0.000 0.000
I1 0.500 0.500 0.500

Values from the calculation:
Size of the total moment: 7.84 Bohr magnetons per cell
Symmetry: No. 221

Number 1: E -34.6 eV per cell. Number 2: E -47.0 eV per cell. Number 3: E -48.2 eV per cell. Number 4: E -17.6 eV per cell.